(1)
This record from Alexandria via LeMat-Bulk describes an optimized crystal structure of PuCu12. The functional is PBE.

The space group is I4/mmm (No. 139) and the conventional cell measures 8.4764, 8.4764 and 4.8786 Å, with angles of 90.00, 90.00 and 90.00 degrees. The distinct sites, in fractional coordinates, are Pu at (0.0000, 0.0000, 0.0000), Cu at (0.0000, 0.2243, 0.5000), Cu at (0.0000, 0.3554, 0.0000) and Cu at (0.2500, 0.2500, 0.2500).

Its total moment is 0.428 μB per atom. As for the volume: 13.48 A^3/atom. Its formation energy is 0.01 eV/atom.

=====

(2)
This record from Alexandria via LeMat-Bulk describes an optimized crystal structure of RbSb2IN. The functional is PBE.

The space group is P4/mmm (No. 123) and the conventional cell measures 4.7036, 4.7036 and 9.0475 Å, with angles of 90.00, 90.00 and 90.00 degrees. The distinct sites, in fractional coordinates, are Rb at (0.0000, 0.0000, 0.0000), Sb at (0.0000, 0.5000, 0.5000), I at (0.5000, 0.5000, 0.0000) and N at (0.5000, 0.5000, 0.5000).

Its total moment is 0.000 μB per atom. As for the volume: 40.03 A^3/atom. The uncorrected formation energy is 0.293 eV/atom.

=====

(3)
This record from Alexandria via LeMat-Bulk describes an optimized crystal structure of Fe2CuC. The functional is PBE.

The space group is I-42d (No. 122) and the conventional cell measures 5.9962, 5.9962 and 4.6287 Å, with angles of 90.00, 90.00 and 90.00 degrees. The distinct sites, in fractional coordinates, are Fe at (0.1611, 0.2500, 0.1250), Cu at (0.0000, 0.0000, 0.5000) and C at (0.0000, 0.0000, 0.0000).

Its total moment is 0.745 μB per atom. As for the volume: 10.40 A^3/atom. Its formation energy is 0.44 eV/atom.

=====

(4)
This record from Alexandria via LeMat-Bulk describes an optimized crystal structure of ZnHPd2. The functional is PBE.

The space group is P-1 (No. 2) and the conventional cell measures 2.9166, 5.0423 and 6.6943 Å, with angles of 75.66, 89.90 and 89.89 degrees. The distinct sites, in fractional coordinates, are Zn at (0.2499, 0.2427, 0.0040), H at (0.2516, 0.7336, 0.5635), Pd at (0.2465, 0.4833, 0.3101) and Pd at (0.2529, 0.0258, 0.6843).

Its total moment is 0.000 μB per atom. As for the volume: 11.92 A^3/atom. For the distance to the lowest polymorph of the same formula, the calculation gives 33 meV per atom.

=====

(5)
This record from Alexandria via LeMat-Bulk describes an optimized crystal structure of CsBaAuI4. The functional is PBE.

The space group is P2_1/m (No. 11) and the conventional cell measures 7.7016, 8.3538 and 10.7511 Å, with angles of 90.00, 110.91 and 90.00 degrees. The distinct sites, in fractional coordinates, are Cs at (0.2117, 0.2500, 0.0504), Ba at (0.2385, 0.2500, 0.5591), Au at (0.2436, 0.7500, 0.3223), I at (0.0271, 0.5100, 0.7203), I at (0.3925, 0.7500, 0.1262) and I at (0.4368, 0.7500, 0.5944).

Its total moment is 0.000 μB per atom. As for the volume: 46.15 A^3/atom. The uncorrected formation energy is -1.202 eV/atom.

=====

(6)
This record from Alexandria via LeMat-Bulk describes an optimized crystal structure of Ca3TiRe. The functional is PBE.

The space group is Pm-3m (No. 221) and the conventional cell measures 5.3485, 5.3485 and 5.3485 Å, with angles of 90.00, 90.00 and 90.00 degrees. The distinct sites, in fractional coordinates, are Ca at (0.0000, 0.0000, 0.5000), Ti at (0.0000, 0.0000, 0.0000) and Re at (0.5000, 0.5000, 0.5000).

Its total moment is 0.946 μB per atom. As for the volume: 30.60 A^3/atom. Its formation energy is 1.79 eV/atom. For the distance to the lowest polymorph of the same formula, the calculation gives 519 meV per atom.

=====

(7)
This record from Alexandria via LeMat-Bulk describes an optimized crystal structure of CaTa2NbMo. The functional is PBE.

The space group is P4/mmm (No. 123) and the conventional cell measures 4.9423, 4.9423 and 4.9237 Å, with angles of 90.00, 90.00 and 90.00 degrees. The distinct sites, in fractional coordinates, are Ca at (0.0000, 0.0000, 0.0000), Ta at (0.0000, 0.5000, 0.5000), Nb at (0.5000, 0.5000, 0.0000) and Mo at (0.5000, 0.5000, 0.5000).

Its total moment is 0.000 μB per atom. As for the volume: 24.05 A^3/atom. Its formation energy is 1.03 eV/atom.

=====

(8)
This record from Alexandria via LeMat-Bulk describes an optimized crystal structure of SrIn4Hg. The functional is PBE.

The space group is F-43m (No. 216) and the conventional cell measures 8.8934, 8.8934 and 8.8934 Å, with angles of 90.00, 90.00 and 90.00 degrees. The distinct sites, in fractional coordinates, are Sr at (0.0000, 0.0000, 0.0000), In at (0.1248, 0.1248, 0.6248) and Hg at (0.2500, 0.2500, 0.2500).

Its total moment is 0.000 μB per atom. As for the volume: 29.31 A^3/atom. Its formation energy is -0.16 eV/atom. For the distance to the lowest polymorph of the same formula, the calculation gives 69 meV per atom.

=====

> What is the formula in the fifth record?

CsBaAuI4

=====

> What is the total moment in the first record?

0.428 μB per atom

=====

> Which value of total moment does entry 7 give?

0.000 μB per atom